No. 1
# Zr2TlTcB, optimized geometry, DFT GGA-PBE
data_Zr2TlTcB
_chemical_formula_sum 'Zr2 Tl1 Tc1 B1'
_cell_length_a 4.727
_cell_length_b 4.727
_cell_length_c 4.109
_cell_angle_alpha 90.00
_cell_angle_beta 90.00
_cell_angle_gamma 90.00
_space_group_name_H-M_alt 'P 4/m m m'
_space_group_IT_number 123
_space_group_name_Hall '-P 4 2'
loop_
_atom_site_label
_atom_site_type_symbol
_atom_site_fract_x
_atom_site_fract_y
_atom_site_fract_z
Zr1 Zr 0.000 0.500 0.000
Tl1 Tl 0.000 0.000 0.500
Tc1 Tc 0.500 0.500 0.500
B1 B 0.500 0.500 0.000
# * formation enthalpy at 0 K: -1.07 eV per formula unit

No. 2
# Tm2Tc3B4, optimized geometry, DFT GGA-PBE
data_Tm2Tc3B4
_chemical_formula_sum 'Tm4 Tc6 B8'
_cell_length_a 6.204
_cell_length_b 6.260
_cell_length_c 6.015
_cell_angle_alpha 90.00
_cell_angle_beta 107.81
_cell_angle_gamma 90.00
_space_group_name_H-M_alt 'P 1 21/c 1'
_space_group_IT_number 14
loop_
_space_group_symop_operation_xyz
'x,y,z'
'-x,-y,-z'
'-x,y+1/2,-z+1/2'
'x,-y+1/2,z+1/2'
loop_
_atom_site_label
_atom_site_type_symbol
_atom_site_fract_x
_atom_site_fract_y
_atom_site_fract_z
Tm1 Tm 0.193 0.169 0.079
Tc1 Tc 0.252 0.675 0.253
Tc2 Tc 0.500 0.000 0.500
B1 B 0.081 0.537 0.892
B2 B 0.495 0.615 0.616
# * formation enthalpy at 0 K: -4.51 eV per formula unit

No. 3
# TmTcB2, optimized geometry, DFT GGA-PBE
data_TmTcB2
_chemical_formula_sum 'Tm4 Tc4 B8'
_cell_length_a 5.909
_cell_length_b 5.252
_cell_length_c 6.399
_cell_angle_alpha 90.00
_cell_angle_beta 90.00
_cell_angle_gamma 90.00
_space_group_name_H-M_alt 'P n m a'
_space_group_IT_number 62
loop_
_space_group_symop_operation_xyz
'x,y,z'
'-x,-y,-z'
'-x+1/2,-y,z+1/2'
'x+1/2,y,-z+1/2'
'x+1/2,-y+1/2,-z+1/2'
'-x+1/2,y+1/2,z+1/2'
'-x,y+1/2,-z'
'x,-y+1/2,z'
loop_
_atom_site_label
_atom_site_type_symbol
_atom_site_fract_x
_atom_site_fract_y
_atom_site_fract_z
Tm1 Tm 0.015 0.250 0.162
Tc1 Tc 0.182 0.250 0.686
B1 B 0.131 0.578 0.466
# * distance to the lowest polymorph of the same formula: 0 meV per atom
# * formation enthalpy at 0 K: -2.48 eV per formula unit

No. 4
# TmTc2B6, optimized geometry, DFT GGA-PBE
data_TmTc2B6
_chemical_formula_sum 'Tm2 Tc4 B12'
_cell_length_a 3.106
_cell_length_b 6.776
_cell_length_c 8.541
_cell_angle_alpha 90.00
_cell_angle_beta 90.00
_cell_angle_gamma 90.00
_space_group_name_H-M_alt 'I m m m'
_space_group_IT_number 71
_space_group_name_Hall '-I 2 2'
loop_
_atom_site_label
_atom_site_type_symbol
_atom_site_fract_x
_atom_site_fract_y
_atom_site_fract_z
Tm1 Tm 0.000 0.000 0.000
Tc1 Tc 0.000 0.500 0.161
B1 B 0.000 0.157 0.500
B2 B 0.000 0.246 0.310
# * distance to the lowest polymorph of the same formula: 0 meV per atom
# * formation enthalpy at 0 K: -4.16 eV per formula unit

No. 5
# Tm3Tc2B9, optimized geometry, DFT GGA-PBE
data_Tm3Tc2B9
_chemical_formula_sum 'Tm6 Tc4 B18'
_cell_length_a 3.132
_cell_length_b 7.627
_cell_length_c 13.316
_cell_angle_alpha 90.00
_cell_angle_beta 90.00
_cell_angle_gamma 90.00
_space_group_name_H-M_alt 'I m m m'
_space_group_IT_number 71
_space_group_name_Hall '-I 2 2'
loop_
_atom_site_label
_atom_site_type_symbol
_atom_site_fract_x
_atom_site_fract_y
_atom_site_fract_z
Tm1 Tm 0.000 0.000 0.000
Tm2 Tm 0.000 0.000 0.277
Tc1 Tc 0.000 0.186 0.500
B1 B 0.000 0.246 0.131
B2 B 0.000 0.355 0.363
B3 B 0.000 0.500 0.000
# * formation enthalpy at 0 K: -4.04 eV per formula unit

No. 6
# TmTc2B, optimized geometry, DFT GGA-PBE
data_TmTc2B
_chemical_formula_sum 'Tm3 Tc6 B3'
_cell_length_a 3.1660
_cell_length_b 3.1660
_cell_length_c 21.4162
_cell_angle_alpha 90.00
_cell_angle_beta 90.00
_cell_angle_gamma 120.00
_space_group_name_H-M_alt 'R -3 m'
_space_group_IT_number 166
_space_group_name_Hall '-R 3 2"'
loop_
_atom_site_label
_atom_site_type_symbol
_atom_site_fract_x
_atom_site_fract_y
_atom_site_fract_z
Tm1 Tm 0.0000 0.0000 0.0000
Tc1 Tc 0.0000 0.0000 0.2201
B1 B 0.0000 0.0000 0.5000
# * formation enthalpy at 0 K: -0.38 eV per formula unit

No. 7
# Tm2TcB2, optimized geometry, DFT GGA-PBE
data_Tm2TcB2
_chemical_formula_sum 'Tm8 Tc4 B8'
_cell_length_a 6.343
_cell_length_b 9.912
_cell_length_c 5.304
_cell_angle_alpha 90.00
_cell_angle_beta 90.00
_cell_angle_gamma 90.00
_space_group_name_H-M_alt 'I b a m'
_space_group_IT_number 72
_space_group_name_Hall '-I 2 2c'
loop_
_atom_site_label
_atom_site_type_symbol
_atom_site_fract_x
_atom_site_fract_y
_atom_site_fract_z
Tm1 Tm 0.149 0.157 0.000
Tc1 Tc 0.000 0.500 0.250
B1 B 0.231 0.406 0.000
# * formation enthalpy at 0 K: -1.29 eV per formula unit

No. 8
# TmTcB2, optimized geometry, DFT GGA-PBE
data_TmTcB2
_chemical_formula_sum 'Tm3 Tc3 B6'
_cell_length_a 3.2900
_cell_length_b 3.2900
_cell_length_c 16.8630
_cell_angle_alpha 90.00
_cell_angle_beta 90.00
_cell_angle_gamma 120.00
_space_group_name_H-M_alt 'R -3 m'
_space_group_IT_number 166
_space_group_name_Hall '-R 3 2"'
loop_
_atom_site_label
_atom_site_type_symbol
_atom_site_fract_x
_atom_site_fract_y
_atom_site_fract_z
Tm1 Tm 0.0000 0.0000 0.0000
Tc1 Tc 0.0000 0.0000 0.5000
B1 B 0.0000 0.0000 0.2339
# * distance to the lowest polymorph of the same formula: 469 meV per atom
# * formation enthalpy at 0 K: -0.60 eV per formula unit

No. 9
# Tm2TcB10, optimized geometry, DFT GGA-PBE
data_Tm2TcB10
_chemical_formula_sum 'Tm4 Tc2 B20'
_cell_length_a 5.730
_cell_length_b 11.362
_cell_length_c 4.142
_cell_angle_alpha 90.00
_cell_angle_beta 90.00
_cell_angle_gamma 90.00
_space_group_name_H-M_alt 'P b a m'
_space_group_IT_number 55
loop_
_space_group_symop_operation_xyz
'x,y,z'
'-x,-y,-z'
'-x,-y,z'
'x,y,-z'
'x+1/2,-y+1/2,-z'
'-x+1/2,y+1/2,z'
'-x+1/2,y+1/2,-z'
'x+1/2,-y+1/2,z'
loop_
_atom_site_label
_atom_site_type_symbol
_atom_site_fract_x
_atom_site_fract_y
_atom_site_fract_z
Tm1 Tm 0.226 0.132 0.000
Tc1 Tc 0.000 0.500 0.500
B1 B 0.063 0.307 0.500
B2 B 0.120 0.959 0.500
B3 B 0.127 0.802 0.500
B4 B 0.228 0.380 0.199
# * formation enthalpy at 0 K: -4.87 eV per formula unit

No. 10
# Tm2TcB6, optimized geometry, DFT GGA-PBE
data_Tm2TcB6
_chemical_formula_sum 'Tm4 Tc2 B12'
_cell_length_a 3.420
_cell_length_b 5.361
_cell_length_c 11.606
_cell_angle_alpha 90.00
_cell_angle_beta 90.00
_cell_angle_gamma 90.00
_space_group_name_H-M_alt 'I m m m'
_space_group_IT_number 71
_space_group_name_Hall '-I 2 2'
loop_
_atom_site_label
_atom_site_type_symbol
_atom_site_fract_x
_atom_site_fract_y
_atom_site_fract_z
Tm1 Tm 0.000 0.000 0.162
Tc1 Tc 0.000 0.500 0.000
B1 B 0.000 0.150 0.379
B2 B 0.000 0.334 0.500
# * distance to the lowest polymorph of the same formula: 0 meV per atom
# * formation enthalpy at 0 K: -3.46 eV per formula unit

No. 11
# TmTcB2, optimized geometry, DFT GGA-PBE
data_TmTcB2
_chemical_formula_sum 'Tm4 Tc4 B8'
_cell_length_a 5.983
_cell_length_b 3.338
_cell_length_c 10.218
_cell_angle_alpha 90.00
_cell_angle_beta 90.00
_cell_angle_gamma 90.00
_space_group_name_H-M_alt 'P n m a'
_space_group_IT_number 62
loop_
_space_group_symop_operation_xyz
'x,y,z'
'-x,-y,-z'
'-x+1/2,-y,z+1/2'
'x+1/2,y,-z+1/2'
'x+1/2,-y+1/2,-z+1/2'
'-x+1/2,y+1/2,z+1/2'
'-x,y+1/2,-z'
'x,-y+1/2,z'
loop_
_atom_site_label
_atom_site_type_symbol
_atom_site_fract_x
_atom_site_fract_y
_atom_site_fract_z
Tm1 Tm 0.112 0.250 0.139
Tc1 Tc 0.130 0.250 0.437
B1 B 0.032 0.250 0.676
B2 B 0.228 0.250 0.811
# * distance to the lowest polymorph of the same formula: 156 meV per atom
# * formation enthalpy at 0 K: -1.85 eV per formula unit

No. 12
# TmTc4B2, optimized geometry, DFT GGA-PBE
data_TmTc4B2
_chemical_formula_sum 'Tm2 Tc8 B4'
_cell_length_a 3.757
_cell_length_b 13.621
_cell_length_c 3.729
_cell_angle_alpha 90.00
_cell_angle_beta 90.00
_cell_angle_gamma 90.00
_space_group_name_H-M_alt 'C m m m'
_space_group_IT_number 65
_space_group_name_Hall '-C 2 2'
loop_
_atom_site_label
_atom_site_type_symbol
_atom_site_fract_x
_atom_site_fract_y
_atom_site_fract_z
Tm1 Tm 0.000 0.000 0.000
Tc1 Tc 0.000 0.172 0.500
Tc2 Tc 0.000 0.320 0.000
B1 B 0.000 0.432 0.500
# * formation enthalpy at 0 K: -1.17 eV per formula unit

No. 13
# TmTc4B4, optimized geometry, DFT GGA-PBE
data_TmTc4B4
_chemical_formula_sum 'Tm2 Tc8 B8'
_cell_length_a 7.330
_cell_length_b 7.330
_cell_length_c 4.262
_cell_angle_alpha 90.00
_cell_angle_beta 90.00
_cell_angle_gamma 90.00
_space_group_name_H-M_alt 'P 42/n'
_space_group_IT_number 86
loop_
_space_group_symop_operation_xyz
'x,y,z'
'-x,-y,-z'
'-y,x+1/2,z+1/2'
'y,-x+1/2,-z+1/2'
'-x+1/2,-y+1/2,z'
'x+1/2,y+1/2,-z'
'y+1/2,-x,z+1/2'
'-y+1/2,x,-z+1/2'
loop_
_atom_site_label
_atom_site_type_symbol
_atom_site_fract_x
_atom_site_fract_y
_atom_site_fract_z
Tm1 Tm 0.250 0.250 0.250
Tc1 Tc 0.117 0.623 0.117
B1 B 0.067 0.927 0.118
# * formation enthalpy at 0 K: -3.84 eV per formula unit

No. 14
# Tm2TcB6, optimized geometry, DFT GGA-PBE
data_Tm2TcB6
_chemical_formula_sum 'Tm4 Tc2 B12'
_cell_length_a 8.707
_cell_length_b 4.761
_cell_length_c 5.538
_cell_angle_alpha 90.00
_cell_angle_beta 111.29
_cell_angle_gamma 90.00
_space_group_name_H-M_alt 'C 1 2/m 1'
_space_group_IT_number 12
loop_
_space_group_symop_operation_xyz
'x,y,z'
'-x,-y,-z'
'-x,y,-z'
'x,-y,z'
'x+1/2,y+1/2,z'
'-x+1/2,-y+1/2,-z'
'-x+1/2,y+1/2,-z'
'x+1/2,-y+1/2,z'
loop_
_atom_site_label
_atom_site_type_symbol
_atom_site_fract_x
_atom_site_fract_y
_atom_site_fract_z
Tm1 Tm 0.124 0.000 0.296
Tc1 Tc 0.000 0.500 0.500
B1 B 0.147 0.324 0.893
B2 B 0.202 0.000 0.844
# * distance to the lowest polymorph of the same formula: 274 meV per atom
# * formation enthalpy at 0 K: -1.00 eV per formula unit

No. 15
# TmTc2B2, optimized geometry, DFT GGA-PBE
data_TmTc2B2
_chemical_formula_sum 'Tm2 Tc4 B4'
_cell_length_a 4.259
_cell_length_b 3.183
_cell_length_c 9.654
_cell_angle_alpha 90.00
_cell_angle_beta 95.83
_cell_angle_gamma 90.00
_space_group_name_H-M_alt 'P 1 21/m 1'
_space_group_IT_number 11
loop_
_space_group_symop_operation_xyz
'x,y,z'
'-x,-y,-z'
'-x,y+1/2,-z'
'x,-y+1/2,z'
loop_
_atom_site_label
_atom_site_type_symbol
_atom_site_fract_x
_atom_site_fract_y
_atom_site_fract_z
Tm1 Tm 0.193 0.250 0.243
Tc1 Tc 0.249 0.750 0.497
Tc2 Tc 0.346 0.250 0.905
B1 B 0.123 0.750 0.017
B2 B 0.287 0.250 0.662
# * formation enthalpy at 0 K: -1.99 eV per formula unit

No. 16
# TmTc2B6, optimized geometry, DFT GGA-PBE
data_TmTc2B6
_chemical_formula_sum 'Tm1 Tc2 B6'
_cell_length_a 5.2961
_cell_length_b 5.2961
_cell_length_c 3.4810
_cell_angle_alpha 90.00
_cell_angle_beta 90.00
_cell_angle_gamma 120.00
_space_group_name_H-M_alt 'P 6/m m m'
_space_group_IT_number 191
_space_group_name_Hall '-P 6 2'
loop_
_atom_site_label
_atom_site_type_symbol
_atom_site_fract_x
_atom_site_fract_y
_atom_site_fract_z
Tm1 Tm 0.0000 0.0000 0.0000
Tc1 Tc 0.3333 0.6667 0.0000
B1 B 0.0000 0.3397 0.5000
# * distance to the lowest polymorph of the same formula: 100 meV per atom
# * formation enthalpy at 0 K: -3.26 eV per formula unit

No. 17
# UTc2B, optimized geometry, DFT GGA-PBE
data_UTc2B
_chemical_formula_sum 'U1 Tc2 B1'
_cell_length_a 4.016
_cell_length_b 4.016
_cell_length_c 3.622
_cell_angle_alpha 90.00
_cell_angle_beta 90.00
_cell_angle_gamma 90.00
_space_group_name_H-M_alt 'P 4/m m m'
_space_group_IT_number 123
_space_group_name_Hall '-P 4 2'
loop_
_atom_site_label
_atom_site_type_symbol
_atom_site_fract_x
_atom_site_fract_y
_atom_site_fract_z
U1 U 0.000 0.000 0.000
Tc1 Tc 0.000 0.500 0.500
B1 B 0.500 0.500 0.000
# * distance to the lowest polymorph of the same formula: 285 meV per atom
# * formation enthalpy at 0 K: 0.31 eV per formula unit

No. 18
# U2TcB6, optimized geometry, DFT GGA-PBE
data_U2TcB6
_chemical_formula_sum 'U2 Tc1 B6'
_cell_length_a 5.2962
_cell_length_b 5.2962
_cell_length_c 3.8659
_cell_angle_alpha 90.00
_cell_angle_beta 90.00
_cell_angle_gamma 120.00
_space_group_name_H-M_alt 'P 6/m m m'
_space_group_IT_number 191
_space_group_name_Hall '-P 6 2'
loop_
_atom_site_label
_atom_site_type_symbol
_atom_site_fract_x
_atom_site_fract_y
_atom_site_fract_z
U1 U 0.3333 0.6667 0.0000
Tc1 Tc 0.0000 0.0000 0.0000
B1 B 0.0000 0.3299 0.5000
# * formation enthalpy at 0 K: -3.50 eV per formula unit

No. 19
# UTcB, optimized geometry, DFT GGA-PBE
data_UTcB
_chemical_formula_sum 'U4 Tc4 B4'
_cell_length_a 3.019
_cell_length_b 13.132
_cell_length_c 4.279
_cell_angle_alpha 90.00
_cell_angle_beta 90.00
_cell_angle_gamma 90.00
_space_group_name_H-M_alt 'C m c m'
_space_group_IT_number 63
_space_group_name_Hall '-C 2c 2'
loop_
_atom_site_label
_atom_site_type_symbol
_atom_site_fract_x
_atom_site_fract_y
_atom_site_fract_z
U1 U 0.000 0.056 0.250
Tc1 Tc 0.000 0.266 0.750
B1 B 0.000 0.361 0.250
# * distance to the lowest polymorph of the same formula: 0 meV per atom
# * formation enthalpy at 0 K: -0.33 eV per formula unit

No. 20
# UTcB, optimized geometry, DFT GGA-PBE
data_UTcB
_chemical_formula_sum 'U4 Tc4 B4'
_cell_length_a 5.646
_cell_length_b 5.943
_cell_length_c 5.294
_cell_angle_alpha 90.00
_cell_angle_beta 90.00
_cell_angle_gamma 90.00
_space_group_name_H-M_alt 'P c a 21'
_space_group_IT_number 29
loop_
_space_group_symop_operation_xyz
'x,y,z'
'-x,-y,z+1/2'
'-x+1/2,y,z+1/2'
'x+1/2,-y,z'
loop_
_atom_site_label
_atom_site_type_symbol
_atom_site_fract_x
_atom_site_fract_y
_atom_site_fract_z
U1 U 0.167 0.107 0.000
Tc1 Tc 0.117 0.599 0.770
B1 B 0.043 0.707 0.140
# * distance to the lowest polymorph of the same formula: 10 meV per atom
# * formation enthalpy at 0 K: -0.30 eV per formula unit